First-principles (PBE) data for an optimized crystal structure of TbNd3Dy2Se6, as listed in Alexandria via LeMat-Bulk.

Lattice parameters (Å, degrees): 7.1261 12.4140 7.2898 90.00 109.15 90.00
With the nearest neighbours (Å) after each atom.
Space group C2/m (No. 12)
Inequivalent atoms, fractional coordinates:
1 Tb 0.0000 0.0000 0.0000 [2 per cell]  6 Se 2.89
2 Nd 0.0000 0.1657 0.5000 [4 per cell]  6 Se 2.99-3.00
3 Nd 0.0000 0.5000 0.5000 [2 per cell]  6 Se 2.99-3.00
4 Dy 0.0000 0.3335 0.0000 [4 per cell]  6 Se 2.88
5 Se 0.2438 0.5000 0.2358 [4 per cell]  2 Dy 2.88, 1 Tb 2.89, 3 Nd 2.99
6 Se 0.2460 0.1674 0.2365 [8 per cell]  2 Dy 2.88, 1 Tb 2.89, 3 Nd 3.00

Output
Energy relative to the elements, uncorrected = -1.80 eV/atom
Magnetization = 0.00 Bohr magnetons per cell
Calculated density = 7.58 g/cm³

=====

First-principles (PBE) data for an optimized crystal structure of TbNd2Dy3Se6, as listed in Alexandria via LeMat-Bulk.

Lattice parameters (Å, degrees): 18.0458 4.1034 8.3279 90.00 104.06 90.00
With the nearest neighbours (Å) after each atom.
Space group C2/m (No. 12)
Inequivalent atoms, fractional coordinates:
1 Tb 0.0000 0.0000 0.0000 [2 per cell]  6 Se 2.90-2.93
2 Nd 0.1681 0.5000 0.3356 [4 per cell]  6 Se 2.96-3.01
3 Dy 0.0000 0.0000 0.5000 [2 per cell]  6 Se 2.85-2.92
4 Dy 0.1694 0.5000 0.8333 [4 per cell]  6 Se 2.86-2.90
5 Se 0.0037 0.5000 0.7507 [4 per cell]  3 Dy 2.90-2.92, 2 Tb 2.93, 1 Nd 3.01
6 Se 0.1627 0.0000 0.5912 [4 per cell]  3 Dy 2.85-2.86, 3 Nd 2.96-2.97
7 Se 0.1657 0.0000 0.0732 [4 per cell]  3 Dy 2.88-2.89, 1 Tb 2.90, 2 Nd 2.99

Output
Energy relative to the elements, uncorrected = -1.78 eV/atom
Magnetization = 0.00 Bohr magnetons per cell
Calculated density = 7.82 g/cm³

=====

First-principles (PBE) data for an optimized crystal structure of NdDyTeSe2, as listed in Alexandria via LeMat-Bulk.

Lattice parameters (Å, degrees): 4.6735 4.6735 14.2902 90.00 90.00 90.00
With the nearest neighbours (Å) after each atom.
Space group I4mm (No. 107)
Inequivalent atoms, fractional coordinates:
1 Nd 0.0000 0.0000 0.0000 [2 per cell]  4 Se 2.89
2 Dy 0.0000 0.0000 0.7226 [2 per cell]  4 Se 2.77
3 Te 0.0000 0.0000 0.3671 [2 per cell]  4 Nd 3.81, 4 Dy 3.90, 4 Se 4.25
4 Se 0.0000 0.5000 0.1184 [4 per cell]  2 Dy 2.77, 2 Nd 2.89

Output
Energy relative to the elements, uncorrected = -1.37 eV/atom
Magnetization = 0.00 Bohr magnetons per cell
Calculated density = 6.30 g/cm³

=====

First-principles (PBE) data for an optimized crystal structure of NdDyTeSe, as listed in Alexandria via LeMat-Bulk.

Lattice parameters (Å, degrees): 4.1347 4.1347 22.9271 90.00 90.00 120.00
With the nearest neighbours (Å) after each atom.
Space group R3m (No. 160, hexagonal axes)
Inequivalent atoms, fractional coordinates:
1 Nd 0.0000 0.0000 0.0000 [3 per cell]  3 Se 3.10, 3 Te 3.15
2 Dy 0.0000 0.0000 0.1622 [3 per cell]  3 Se 2.96, 3 Te 3.03
3 Te 0.0000 0.0000 0.5770 [3 per cell]  3 Dy 3.03, 3 Nd 3.15
4 Se 0.0000 0.0000 0.7527 [3 per cell]  3 Dy 2.96, 3 Nd 3.10

Output
Energy relative to the elements, uncorrected = -1.52 eV/atom
Magnetization = 0.00 Bohr magnetons per cell
Calculated density = 7.53 g/cm³

=====

First-principles (PBE) data for an optimized crystal structure of NdDyTe2Se, as listed in Alexandria via LeMat-Bulk.

Lattice parameters (Å, degrees): 4.3653 4.3653 15.6757 90.00 90.00 90.00
With the nearest neighbours (Å) after each atom.
Space group P4/nmm (No. 129, origin choice 2)
Inequivalent atoms, fractional coordinates:
1 Nd 0.2500 0.2500 0.1319 [2 per cell]  4 Se 3.01, 4 Te 3.33
2 Dy 0.2500 0.2500 0.5901 [2 per cell]  6 Te 3.10-3.11
3 Te 0.2500 0.2500 0.3914 [2 per cell]  5 Dy 3.10-3.11
4 Te 0.2500 0.2500 0.7881 [2 per cell]  1 Dy 3.10, 4 Nd 3.33
5 Se 0.2500 0.7500 0.0000 [2 per cell]  4 Nd 3.01, 4 Se 3.09

Output
Energy relative to the elements, uncorrected = -1.42 eV/atom
Magnetization = 0.00 Bohr magnetons per cell
Calculated density = 7.13 g/cm³

=====

First-principles (PBE) data for an optimized crystal structure of NdDy2Th3Se6, as listed in Alexandria via LeMat-Bulk.

Lattice parameters (Å, degrees): 7.0861 12.1519 7.4878 90.00 108.02 90.00
With the nearest neighbours (Å) after each atom.
Space group C2/m (No. 12)
Inequivalent atoms, fractional coordinates:
1 Nd 0.0000 0.0000 0.0000 [2 per cell]  6 Se 2.93-2.96
2 Dy 0.0000 0.3320 0.0000 [4 per cell]  6 Se 2.86-2.88
3 Th 0.0000 0.1610 0.5000 [4 per cell]  6 Se 2.99-3.02
4 Th 0.0000 0.5000 0.5000 [2 per cell]  6 Se 2.97-3.01
5 Se 0.2349 0.5000 0.2332 [4 per cell]  2 Dy 2.86, 1 Nd 2.93, 3 Th 2.97-3.00
6 Se 0.2484 0.3290 0.7594 [8 per cell]  2 Dy 2.87-2.88, 1 Nd 2.96, 3 Th 2.99-3.02

Output
Energy relative to the elements, uncorrected = -1.65 eV/atom
Magnetization = 0.00 Bohr magnetons per cell
Calculated density = 8.88 g/cm³

=====

First-principles (PBE) data for an optimized crystal structure of NdDy2ThSe4, as listed in Alexandria via LeMat-Bulk.

Lattice parameters (Å, degrees): 7.1354 4.0909 7.2954 90.00 108.86 90.00
With the nearest neighbours (Å) after each atom.
Space group P2/m (No. 10)
Inequivalent atoms, fractional coordinates:
1 Nd 0.0000 0.0000 0.0000 [1 per cell]  6 Se 2.99
2 Dy 0.0000 0.5000 0.5000 [1 per cell]  6 Se 2.87-2.88
3 Dy 0.5000 0.0000 0.5000 [1 per cell]  6 Se 2.87-2.88
4 Th 0.5000 0.5000 0.0000 [1 per cell]  6 Se 2.99
5 Se 0.2452 0.0000 0.7356 [2 per cell]  3 Dy 2.87-2.88, 2 Th 2.99, 1 Nd 2.99
6 Se 0.2552 0.5000 0.2644 [2 per cell]  3 Dy 2.87-2.88, 2 Nd 2.99, 1 Th 2.99

Output
Energy relative to the elements, uncorrected = -1.71 eV/atom
Magnetization = 0.00 Bohr magnetons per cell
Calculated density = 8.38 g/cm³

=====

First-principles (PBE) data for an optimized crystal structure of NdDy3Th4Se8, as listed in Alexandria via LeMat-Bulk.

Lattice parameters (Å, degrees): 8.1482 8.1482 21.2148 90.00 90.00 120.00
With the nearest neighbours (Å) after each atom.
Space group R-3m (No. 166, hexagonal axes)
Inequivalent atoms, fractional coordinates:
1 Nd 0.0000 0.0000 0.0000 [3 per cell]  6 Se 2.93
2 Dy 0.0000 0.5000 0.0000 [9 per cell]  6 Se 2.88
3 Th 0.0000 0.0000 0.5000 [3 per cell]  6 Se 2.96
4 Th 0.0000 0.5000 0.5000 [9 per cell]  6 Se 3.01
5 Se 0.0000 0.0000 0.2553 [6 per cell]  3 Dy 2.88, 3 Th 3.01
6 Se 0.0061 0.5030 0.2539 [18 per cell]  2 Dy 2.88, 1 Nd 2.93, 3 Th 2.96-3.01

Output
Energy relative to the elements, uncorrected = -1.65 eV/atom
Magnetization = 0.00 Bohr magnetons per cell
Calculated density = 8.95 g/cm³

=====

First-principles (PBE) data for an optimized crystal structure of Nd3Dy2ThSe6, as listed in Alexandria via LeMat-Bulk.

Lattice parameters (Å, degrees): 18.1627 4.1540 8.4058 90.00 102.76 90.00
With the nearest neighbours (Å) after each atom.
Space group C2/m (No. 12)
Inequivalent atoms, fractional coordinates:
1 Nd 0.0000 0.0000 0.0000 [2 per cell]  6 Se 2.95-3.03
2 Nd 0.1618 0.5000 0.3338 [4 per cell]  6 Se 2.96-3.03
3 Dy 0.1655 0.5000 0.8308 [4 per cell]  6 Se 2.84-2.91
4 Th 0.0000 0.0000 0.5000 [2 per cell]  6 Se 2.96-3.00
5 Se 0.0051 0.5000 0.7538 [4 per cell]  1 Dy 2.84, 3 Nd 2.95-2.96, 2 Th 2.96
6 Se 0.1692 0.0000 0.5949 [4 per cell]  2 Dy 2.88, 3 Nd 2.99-3.00, 1 Th 3.00
7 Se 0.1708 0.0000 0.0758 [4 per cell]  3 Dy 2.90-2.91, 3 Nd 3.03

Output
Energy relative to the elements, uncorrected = -1.75 eV/atom
Magnetization = 0.00 Bohr magnetons per cell
Calculated density = 7.86 g/cm³

=====

First-principles (PBE) data for an optimized crystal structure of Nd2DyThSe4, as listed in Alexandria via LeMat-Bulk.

Lattice parameters (Å, degrees): 7.2441 4.1561 7.3000 90.00 109.15 90.00
With the nearest neighbours (Å) after each atom.
Space group P2/m (No. 10)
Inequivalent atoms, fractional coordinates:
1 Nd 0.0000 0.0000 0.0000 [1 per cell]  6 Se 3.02
2 Nd 0.0000 0.5000 0.5000 [1 per cell]  6 Se 2.96-2.97
3 Dy 0.5000 0.0000 0.5000 [1 per cell]  6 Se 2.90
4 Th 0.5000 0.5000 0.0000 [1 per cell]  6 Se 2.96
5 Se 0.2548 0.0000 0.7449 [2 per cell]  1 Dy 2.90, 3 Nd 2.96-3.02, 2 Th 2.96
6 Se 0.2601 0.5000 0.2595 [2 per cell]  2 Dy 2.90, 1 Th 2.96, 3 Nd 2.97-3.02

Output
Energy relative to the elements, uncorrected = -1.73 eV/atom
Magnetization = 0.00 Bohr magnetons per cell
Calculated density = 7.99 g/cm³

=====

First-principles (PBE) data for an optimized crystal structure of Nd3DyTl4Se8, as listed in Alexandria via LeMat-Bulk.

Lattice parameters (Å, degrees): 8.5843 8.5843 23.2751 90.00 90.00 120.00
With the nearest neighbours (Å) after each atom.
Space group R-3m (No. 166, hexagonal axes)
Inequivalent atoms, fractional coordinates:
1 Nd 0.0000 0.5000 0.0000 [9 per cell]  6 Se 2.97-2.98
2 Dy 0.0000 0.0000 0.0000 [3 per cell]  6 Se 2.91
3 Tl 0.0000 0.0000 0.5000 [3 per cell]  6 Se 3.40
4 Tl 0.0000 0.5000 0.5000 [9 per cell]  6 Se 3.34
5 Se 0.0000 0.0000 0.2627 [6 per cell]  3 Nd 2.97
6 Se 0.0075 0.5037 0.7361 [18 per cell]  1 Dy 2.91, 2 Nd 2.98

Output
Energy relative to the elements, uncorrected = -1.38 eV/atom
Magnetization = 0.00 Bohr magnetons per cell
Calculated density = 6.86 g/cm³

=====

First-principles (PBE) data for an optimized crystal structure of NdDy2Tl3Se6, as listed in Alexandria via LeMat-Bulk.

Lattice parameters (Å, degrees): 7.3339 12.6998 8.1422 90.00 107.47 90.00
With the nearest neighbours (Å) after each atom.
Space group C2/m (No. 12)
Inequivalent atoms, fractional coordinates:
1 Nd 0.0000 0.0000 0.0000 [2 per cell]  6 Se 2.97-2.98
2 Dy 0.0000 0.3332 0.0000 [4 per cell]  6 Se 2.89-2.90
3 Tl 0.0000 0.1650 0.5000 [4 per cell]  6 Se 3.31-3.36
4 Tl 0.0000 0.5000 0.5000 [2 per cell]  6 Se 3.31-3.36
5 Se 0.2267 0.5000 0.2051 [4 per cell]  2 Dy 2.89, 1 Nd 2.97
6 Se 0.2398 0.1709 0.2069 [8 per cell]  2 Dy 2.90, 1 Nd 2.98

Output
Energy relative to the elements, uncorrected = -1.38 eV/atom
Magnetization = 0.00 Bohr magnetons per cell
Calculated density = 7.14 g/cm³

=====

Q: Look up the magnetization of the tenth one.
A: 0.00 Bohr magnetons per cell